# CaPmN | the Alexandria database | PBE | optimized geometry
# E_tot (eV/atom): -4.70
data_CaPmN
_chemical_formula_sum 'Ca2 Pm2 N2'
_space_group_name_H-M_alt 'I 4 m m'
_space_group_IT_number 107
_space_group_name_Hall 'I 4 -2'
_cell_length_a 4.833
_cell_length_b 4.833
_cell_length_c 7.596
_cell_angle_alpha 90.00
_cell_angle_beta 90.00
_cell_angle_gamma 90.00
loop_
_atom_site_label
_atom_site_fract_x
_atom_site_fract_y
_atom_site_fract_z
_atom_site_occupancy
Ca1 0.000 0.000 0.000 1
Pm1 0.000 0.000 0.445 1
N1 0.000 0.000 0.717 1

---

# Ca2Pm3PuN6 | the Alexandria database | PBE | optimized geometry
# E_tot (eV/atom): -8.13
data_Ca2Pm3PuN6
_chemical_formula_sum 'Ca4 Pm6 Pu2 N12'
_space_group_name_H-M_alt 'C 1 2/m 1'
_space_group_IT_number 12
_cell_length_a 6.155
_cell_length_b 10.670
_cell_length_c 6.108
_cell_angle_alpha 90.00
_cell_angle_beta 109.50
_cell_angle_gamma 90.00
loop_
_space_group_symop_operation_xyz
'x,y,z'
'-x,-y,-z'
'-x,y,-z'
'x,-y,z'
'x+1/2,y+1/2,z'
'-x+1/2,-y+1/2,-z'
'-x+1/2,y+1/2,-z'
'x+1/2,-y+1/2,z'
loop_
_atom_site_label
_atom_site_fract_x
_atom_site_fract_y
_atom_site_fract_z
_atom_site_occupancy
Ca1 0.000 0.167 0.000 1
Pm1 0.000 0.000 0.500 1
Pm2 0.000 0.331 0.500 1
Pu1 0.000 0.500 0.000 1
N1 0.216 0.500 0.767 1
N2 0.235 0.348 0.245 1

---

# CaPmPu2N4 | the Alexandria database | PBE | optimized geometry
# E_tot (eV/atom): -9.78
data_CaPmPu2N4
_chemical_formula_sum 'Ca4 Pm4 Pu8 N16'
_space_group_name_H-M_alt 'F m m 2'
_space_group_IT_number 42
_space_group_name_Hall 'F 2 -2'
_cell_length_a 7.073
_cell_length_b 9.782
_cell_length_c 7.073
_cell_angle_alpha 90.00
_cell_angle_beta 90.00
_cell_angle_gamma 90.00
loop_
_atom_site_label
_atom_site_fract_x
_atom_site_fract_y
_atom_site_fract_z
_atom_site_occupancy
Ca1 0.000 0.000 0.000 1
Pm1 0.000 0.000 0.500 1
Pu1 0.250 0.250 0.250 1
N1 0.000 0.248 0.499 1
N2 0.250 0.000 0.250 1

---

# Ca2PmPuN4 | the Alexandria database | PBE | optimized geometry
# E_tot (eV/atom): -8.23
data_Ca2PmPuN4
_chemical_formula_sum 'Ca2 Pm1 Pu1 N4'
_space_group_name_H-M_alt 'P 1 2/m 1'
_space_group_IT_number 10
_cell_length_a 6.056
_cell_length_b 3.545
_cell_length_c 6.091
_cell_angle_alpha 90.00
_cell_angle_beta 109.21
_cell_angle_gamma 90.00
loop_
_space_group_symop_operation_xyz
'x,y,z'
'-x,-y,-z'
'-x,y,-z'
'x,-y,z'
loop_
_atom_site_label
_atom_site_fract_x
_atom_site_fract_y
_atom_site_fract_z
_atom_site_occupancy
Ca1 0.000 0.000 0.000 1
Ca2 0.000 0.500 0.500 1
Pm1 0.500 0.000 0.500 1
Pu1 0.500 0.500 0.000 1
N1 0.275 0.000 0.770 1
N2 0.286 0.500 0.225 1

---

# CaPm2ReN4 | the Alexandria database | PBE | optimized geometry
# E_tot (eV/atom): -7.96
data_CaPm2ReN4
_chemical_formula_sum 'Ca4 Pm8 Re4 N16'
_space_group_name_H-M_alt 'C m c m'
_space_group_IT_number 63
_space_group_name_Hall '-C 2c 2'
_cell_length_a 3.526
_cell_length_b 12.212
_cell_length_c 11.979
_cell_angle_alpha 90.00
_cell_angle_beta 90.00
_cell_angle_gamma 90.00
loop_
_atom_site_label
_atom_site_fract_x
_atom_site_fract_y
_atom_site_fract_z
_atom_site_occupancy
Ca1 0.000 0.124 0.250 1
Pm1 0.000 0.369 0.034 1
Re1 0.000 0.151 0.750 1
N1 0.000 0.000 0.000 1
N2 0.000 0.260 0.632 1
N3 0.000 0.421 0.250 1

---

# CaPm2Re2N6 | the Alexandria database | PBE | optimized geometry
# E_tot (eV/atom): -8.48
data_CaPm2Re2N6
_chemical_formula_sum 'Ca3 Pm6 Re6 N18'
_space_group_name_H-M_alt 'R -3 m'
_space_group_IT_number 166
_space_group_name_Hall '-R 3 2"'
_cell_length_a 5.7635
_cell_length_b 5.7635
_cell_length_c 18.1127
_cell_angle_alpha 90.00
_cell_angle_beta 90.00
_cell_angle_gamma 120.00
loop_
_atom_site_label
_atom_site_fract_x
_atom_site_fract_y
_atom_site_fract_z
_atom_site_occupancy
Ca1 0.0000 0.0000 0.0000 1
Pm1 0.0000 0.0000 0.2061 1
Re1 0.0000 0.0000 0.4026 1
N1 0.0083 0.5042 0.7664 1

---

# CaPmSN | the Alexandria database | PBE | optimized geometry
# E_tot (eV/atom): -6.49
data_CaPmSN
_chemical_formula_sum 'Ca3 Pm3 S3 N3'
_space_group_name_H-M_alt 'R 3 m'
_space_group_IT_number 160
_space_group_name_Hall 'R 3 -2"'
_cell_length_a 3.7686
_cell_length_b 3.7686
_cell_length_c 19.2030
_cell_angle_alpha 90.00
_cell_angle_beta 90.00
_cell_angle_gamma 120.00
loop_
_atom_site_label
_atom_site_fract_x
_atom_site_fract_y
_atom_site_fract_z
_atom_site_occupancy
Ca1 0.0000 0.0000 0.0000 1
Pm1 0.0000 0.0000 0.4753 1
S1 0.0000 0.0000 0.2427 1
N1 0.0000 0.0000 0.7488 1

---

# CaPmSbN | the Alexandria database | PBE | optimized geometry
# E_tot (eV/atom): -5.76
data_CaPmSbN
_chemical_formula_sum 'Ca2 Pm2 Sb2 N2'
_space_group_name_H-M_alt 'P 4/n m m'
_space_group_IT_number 129
_cell_length_a 4.632
_cell_length_b 4.632
_cell_length_c 9.149
_cell_angle_alpha 90.00
_cell_angle_beta 90.00
_cell_angle_gamma 90.00
loop_
_space_group_symop_operation_xyz
'x,y,z'
'-x,-y,-z'
'-y+1/2,x,z'
'y+1/2,-x,-z'
'-x+1/2,-y+1/2,z'
'x+1/2,y+1/2,-z'
'y,-x+1/2,z'
'-y,x+1/2,-z'
'x+1/2,-y,-z'
'-x+1/2,y,z'
'-y,-x,-z'
'y,x,z'
'-x,y+1/2,-z'
'x,-y+1/2,z'
'y+1/2,x+1/2,-z'
'-y+1/2,-x+1/2,z'
loop_
_atom_site_label
_atom_site_fract_x
_atom_site_fract_y
_atom_site_fract_z
_atom_site_occupancy
Ca1 0.250 0.750 0.000 1
Pm1 0.250 0.250 0.321 1
Sb1 0.250 0.250 0.686 1
N1 0.250 0.250 0.085 1

---

# Ca2Pm4Sb3N2 | the Alexandria database | PBE | optimized geometry
# E_tot (eV/atom): -5.86
data_Ca2Pm4Sb3N2
_chemical_formula_sum 'Ca4 Pm8 Sb6 N4'
_space_group_name_H-M_alt 'I 4/m m m'
_space_group_IT_number 139
_space_group_name_Hall '-I 4 2'
_cell_length_a 4.859
_cell_length_b 4.859
_cell_length_c 25.299
_cell_angle_alpha 90.00
_cell_angle_beta 90.00
_cell_angle_gamma 90.00
loop_
_atom_site_label
_atom_site_fract_x
_atom_site_fract_y
_atom_site_fract_z
_atom_site_occupancy
Ca1 0.000 0.000 0.195 1
Pm1 0.000 0.500 0.086 1
Sb1 0.000 0.000 0.322 1
Sb2 0.000 0.000 0.500 1
N1 0.000 0.000 0.101 1

---

# CaPmSiN3 | the Alexandria database | PBE | optimized geometry
# E_tot (eV/atom): -7.14
data_CaPmSiN3
_chemical_formula_sum 'Ca4 Pm4 Si4 N12'
_space_group_name_H-M_alt 'C 1 2/m 1'
_space_group_IT_number 12
_cell_length_a 12.595
_cell_length_b 3.784
_cell_length_c 7.057
_cell_angle_alpha 90.00
_cell_angle_beta 106.37
_cell_angle_gamma 90.00
loop_
_space_group_symop_operation_xyz
'x,y,z'
'-x,-y,-z'
'-x,y,-z'
'x,-y,z'
'x+1/2,y+1/2,z'
'-x+1/2,-y+1/2,-z'
'-x+1/2,y+1/2,-z'
'x+1/2,-y+1/2,z'
loop_
_atom_site_label
_atom_site_fract_x
_atom_site_fract_y
_atom_site_fract_z
_atom_site_occupancy
Ca1 0.151 0.000 0.072 1
Pm1 0.150 0.000 0.580 1
Si1 0.001 0.500 0.248 1
N1 0.003 0.000 0.257 1
N2 0.147 0.500 0.823 1
N3 0.151 0.500 0.326 1

---

# CaPm2SiN4 | the Alexandria database | PBE | optimized geometry
# E_tot (eV/atom): -7.42
data_CaPm2SiN4
_chemical_formula_sum 'Ca4 Pm8 Si4 N16'
_space_group_name_H-M_alt 'C m c m'
_space_group_IT_number 63
_space_group_name_Hall '-C 2c 2'
_cell_length_a 3.408
_cell_length_b 12.080
_cell_length_c 11.968
_cell_angle_alpha 90.00
_cell_angle_beta 90.00
_cell_angle_gamma 90.00
loop_
_atom_site_label
_atom_site_fract_x
_atom_site_fract_y
_atom_site_fract_z
_atom_site_occupancy
Ca1 0.000 0.106 0.250 1
Pm1 0.000 0.369 0.040 1
Si1 0.000 0.184 0.750 1
N1 0.000 0.000 0.000 1
N2 0.000 0.265 0.632 1
N3 0.000 0.397 0.250 1

---

# CaPm2SnN4 | the Alexandria database | PBE | optimized geometry
# E_tot (eV/atom): -6.87
data_CaPm2SnN4
_chemical_formula_sum 'Ca4 Pm8 Sn4 N16'
_space_group_name_H-M_alt 'C m c m'
_space_group_IT_number 63
_space_group_name_Hall '-C 2c 2'
_cell_length_a 3.526
_cell_length_b 12.235
_cell_length_c 12.491
_cell_angle_alpha 90.00
_cell_angle_beta 90.00
_cell_angle_gamma 90.00
loop_
_atom_site_label
_atom_site_fract_x
_atom_site_fract_y
_atom_site_fract_z
_atom_site_occupancy
Ca1 0.000 0.117 0.250 1
Pm1 0.000 0.370 0.029 1
Sn1 0.000 0.149 0.750 1
N1 0.000 0.000 0.000 1
N2 0.000 0.257 0.622 1
N3 0.000 0.452 0.250 1